Density functional theory data (PBE-GGA) for crystalline Nd2DyYHo6 at its relaxed geometry.

Lattice parameters (Å, degrees): 9.6696 8.7805 8.7805 118.36 94.51 94.51
Fractional coordinates of all 20 atoms:
Nd (0.4576, 0.8070, 0.7002)
Nd (0.0424, 0.2998, 0.1930)
Nd (0.5424, 0.1930, 0.2998)
Nd (0.9576, 0.7002, 0.8070)
Dy (0.2500, 0.4071, 0.5929)
Dy (0.7500, 0.5929, 0.4071)
Y (0.2500, 0.9818, 0.0182)
Y (0.7500, 0.0182, 0.9818)
Ho (0.0571, 0.1267, 0.7447)
Ho (0.4429, 0.2553, 0.8733)
Ho (0.9429, 0.8733, 0.2553)
Ho (0.5571, 0.7447, 0.1267)
Ho (0.3126, 0.9770, 0.4243)
Ho (0.1874, 0.5757, 0.0230)
Ho (0.6874, 0.0230, 0.5757)
Ho (0.8126, 0.4243, 0.9770)
Ho (0.1192, 0.7091, 0.4987)
Ho (0.3808, 0.5013, 0.2909)
Ho (0.8808, 0.2909, 0.5013)
Ho (0.6192, 0.4987, 0.7091)

Values from the calculation:
Calculated volume, Å³/cell: 648
N(E_F), states/eV per cell: 27.40
ΔE_f, meV per atom: 116
Final energy, eV per cell: -93.82